1.
VASP calculation (SCAN) on a PBEsol-optimized structure of CaZnSe2.

Cell lengths 4.0440, 4.1608, 5.9360 Å; angles 94.53, 90.00, 90.00 degrees
With the nearest neighbours (Å) after each atom.
Element x y z (fractional)
Ca1 0.5000 0.5578 0.8566  6 Se 2.89-3.04
Se1 0.5000 0.5504 0.3444  2 Zn 2.41
Zn1 0.0000 0.8327 0.4568  3 Se 2.40-2.41
Se2 0.0000 0.0591 0.8422  1 Zn 2.40

Computed properties:
SG: Pm
Magnetic moment: 0.0 μB per formula unit
ρ: 4.39 Mg/m³
E_tot: -68.83 eV/cell
E_form (uncorrected): -1.375 eV/atom
DOS(E_F): 0.00 states/eV per cell

---

2.
VASP calculation (SCAN) on a PBEsol-optimized structure of Tl5In4.

Cell lengths 6.3287, 9.4606, 9.4606 Å; angles 120.00, 90.00, 90.00 degrees
With the nearest neighbours (Å) after each atom.
Element x y z (fractional)
In1 0.2500 0.0000 0.6893  5 Tl 3.15-3.20, 2 In 3.34
In2 0.7500 0.3107 0.0000  5 Tl 3.15-3.20, 2 In 3.34
Tl1 0.2500 0.6487 0.6487  5 In 3.15-3.20, 4 Tl 3.46
In3 0.7500 0.6893 0.6893  5 Tl 3.15-3.20, 2 In 3.34
Tl2 0.7500 0.3513 0.3513  5 In 3.15-3.20, 4 Tl 3.46
Tl3 0.5000 0.3333 0.6667  8 Tl 3.16-3.46
In4 0.2500 0.3107 0.3107  5 Tl 3.15-3.20, 2 In 3.34
Tl4 0.2500 0.3513 0.0000  5 In 3.15-3.20, 4 Tl 3.46
In5 0.5000 0.0000 0.0000  8 In 3.16-3.34
In6 0.0000 0.0000 0.0000  8 In 3.16-3.34
Tl5 0.5000 0.6667 0.3333  8 Tl 3.16-3.46
Tl6 0.0000 0.3333 0.6667  8 Tl 3.16-3.46
In7 0.7500 0.0000 0.3107  5 Tl 3.15-3.20, 2 In 3.34
Tl7 0.2500 0.0000 0.3513  5 In 3.15-3.20, 4 Tl 3.46
In8 0.2500 0.6893 0.0000  5 Tl 3.15-3.20, 2 In 3.34
Tl8 0.7500 0.0000 0.6487  5 In 3.15-3.20, 4 Tl 3.46
Tl9 0.0000 0.6667 0.3333  8 Tl 3.16-3.46
Tl10 0.7500 0.6487 0.0000  5 In 3.15-3.20, 4 Tl 3.46

Computed properties:
SG: P6_3/mcm
Magnetic moment: 0.0 μB per formula unit
ρ: 10.03 Mg/m³
E_tot: -989.56 eV/cell
Offset from the most stable computed form: 10.6 meV/atom
DOS(E_F): 8.51 states/eV per cell

---

3.
VASP calculation (SCAN) on a PBEsol-optimized structure of ReRuCl.

Cell lengths 2.8618, 2.8618, 5.7831 Å; angles 104.33, 104.33, 90.00 degrees
With the nearest neighbours (Å) after each atom.
Element x y z (fractional)
Ru1 0.3169 0.3169 0.6339  4 Re 2.54
Cl1 0.0072 0.0072 0.0144  4 Re 2.73, 4 Cl 2.86, 4 Ru 2.89
Re1 0.6758 0.6758 0.3517  4 Ru 2.54, 4 Cl 2.73

Computed properties:
SG: I4mm
Magnetic moment: 0.0 μB per formula unit
ρ: 12.08 Mg/m³
E_tot: -112.58 eV/cell
E_form (uncorrected): 0.442 eV/atom
DOS(E_F): 1.99 states/eV per cell

---

4.
VASP calculation (SCAN) on a PBEsol-optimized structure of ZrPdO2.

Cell lengths 3.4258, 3.4258, 6.0099 Å; angles 73.44, 73.44, 60.00 degrees
With the nearest neighbours (Å) after each atom.
Element x y z (fractional)
Pd1 0.5000 0.5000 0.5000  6 O 2.14
O1 0.1193 0.1193 0.6422  1 Zr 2.03, 3 Pd 2.14
Zr1 0.0000 0.0000 0.0000  2 O 2.03
O2 0.8807 0.8807 0.3578  1 Zr 2.03, 3 Pd 2.14

Computed properties:
SG: R-3m
Magnetic moment: 0.0 μB per formula unit
ρ: 6.61 Mg/m³
E_tot: -79.83 eV/cell
E_form (uncorrected): -0.973 eV/atom
DOS(E_F): 1.86 states/eV per cell

---

5.
VASP calculation (SCAN) on a PBEsol-optimized structure of Sc2MnMo.

Cell lengths 3.0202, 3.0202, 7.6038 Å; angles 90.00, 90.00, 90.00 degrees
With the nearest neighbours (Å) after each atom.
Element x y z (fractional)
Sc1 0.5000 0.5000 0.3087  4 Mn 2.73, 1 Mo 3.00, 4 Sc 3.02
Mn1 0.0000 0.0000 0.5321  4 Mo 2.50, 4 Sc 2.73
Mo1 0.5000 0.5000 0.7037  4 Mn 2.50
Sc2 0.0000 0.0000 0.9556  4 Mo 2.87, 4 Sc 3.02

Computed properties:
SG: P4mm
Magnetic moment: 0.2 μB per formula unit
ρ: 5.76 Mg/m³
E_tot: -81.38 eV/cell
Offset from the most stable computed form: 0.0 meV/atom
DOS(E_F): 2.86 states/eV per cell

---

6.
VASP calculation (SCAN) on a PBEsol-optimized structure of CaHI.

Cell lengths 3.9696, 3.9696, 8.6254 Å; angles 90.00, 90.00, 90.00 degrees
With the nearest neighbours (Å) after each atom.
Element x y z (fractional)
H1 0.5000 0.5000 0.0000  4 Ca 2.31
I1 0.0000 0.5000 0.6828  4 Ca 3.20, 4 H 3.38
I2 0.5000 0.0000 0.3172  4 Ca 3.20, 4 H 3.38
H2 0.0000 0.0000 0.0000  4 Ca 2.31
Ca1 0.5000 0.0000 0.8620  4 H 2.31
Ca2 0.0000 0.5000 0.1380  4 H 2.31

Computed properties:
SG: P4/nmm
Magnetic moment: 0.0 μB per formula unit
ρ: 4.10 Mg/m³
E_tot: -107.18 eV/cell
DOS(E_F): 0.00 states/eV per cell

---

7.
VASP calculation (SCAN) on a PBEsol-optimized structure of CaReW2.

Cell lengths 4.5360, 4.5360, 4.5360 Å; angles 60.00, 60.00, 60.00 degrees
With the nearest neighbours (Å) after each atom.
Element x y z (fractional)
Ca1 0.0000 0.0000 0.0000  8 W 2.78
Re1 0.5000 0.5000 0.5000  8 W 2.78
W1 0.2500 0.2500 0.2500  4 Re 2.78, 4 Ca 2.78
W2 0.7500 0.7500 0.7500  4 Re 2.78, 4 Ca 2.78

Computed properties:
SG: Fm-3m
Magnetic moment: 0.0 μB per formula unit
ρ: 14.95 Mg/m³
E_tot: -216.82 eV/cell
Offset from the most stable computed form: 0.0 meV/atom
DOS(E_F): 4.33 states/eV per cell

---

8.
VASP calculation (SCAN) on a PBEsol-optimized structure of BaAl3Br.

Cell lengths 6.1396, 6.1396, 6.1396 Å; angles 90.00, 90.00, 90.00 degrees
With the nearest neighbours (Å) after each atom.
Element x y z (fractional)
Br1 0.5000 0.5000 0.5000  12 Al 4.34
Ba1 0.0000 0.0000 0.0000  6 Al 3.07
Al1 0.5000 0.0000 0.0000  2 Ba 3.07
Al2 0.0000 0.5000 0.0000  2 Ba 3.07
Al3 0.0000 0.0000 0.5000  2 Ba 3.07

Computed properties:
SG: Pm-3m
Magnetic moment: 0.0 μB per formula unit
ρ: 2.14 Mg/m³
E_tot: -75.70 eV/cell
E_form (uncorrected): 1.313 eV/atom
DOS(E_F): 6.51 states/eV per cell

---

9.
VASP calculation (SCAN) on a PBEsol-optimized structure of MgAsPt2.

Cell lengths 3.9861, 3.9861, 8.9869 Å; angles 102.81, 102.81, 90.00 degrees
With the nearest neighbours (Å) after each atom.
Element x y z (fractional)
As1 0.0000 0.0000 0.0000  4 Pt 2.53, 4 Mg 2.82
Pt1 0.1250 0.1083 0.7500  2 As 2.53, 2 Mg 2.58, 2 Pt 2.73
As2 0.2500 0.7500 0.5000  4 Pt 2.53, 4 Mg 2.82
Mg1 0.7500 0.2500 0.5000  4 Pt 2.58, 4 As 2.82
Pt2 0.3583 0.8750 0.2500  2 As 2.53, 2 Mg 2.58, 2 Pt 2.73
Pt3 0.8917 0.3750 0.2500  2 As 2.53, 2 Mg 2.58, 2 Pt 2.73
Pt4 0.6250 0.6417 0.7500  2 As 2.53, 2 Mg 2.58, 2 Pt 2.73
Mg2 0.5000 0.5000 0.0000  4 Pt 2.58, 4 As 2.82

Computed properties:
SG: I-42d
Magnetic moment: 0.0 μB per formula unit
ρ: 11.99 Mg/m³
E_tot: -334.75 eV/cell
DOS(E_F): 3.75 states/eV per cell

---

10.
VASP calculation (SCAN) on a PBEsol-optimized structure of SiAs2Br2.

Cell lengths 3.1231, 8.3995, 8.3995 Å; angles 90.00, 90.00, 90.00 degrees
With the nearest neighbours (Å) after each atom.
Element x y z (fractional)
Si1 0.0000 0.0000 0.0000  2 Si 3.12, 4 Br 3.33, 8 As 3.40
Br1 0.0000 0.3774 0.8774  2 As 2.61, 1 Br 2.91
Br2 0.0000 0.6226 0.1226  2 As 2.61, 1 Br 2.91
Br3 0.0000 0.8774 0.6226  2 As 2.61, 1 Br 2.91
As1 0.5000 0.7015 0.7985  2 Br 2.61
As2 0.5000 0.2985 0.2015  2 Br 2.61
Si2 0.0000 0.5000 0.5000  2 Si 3.12, 4 Br 3.33, 8 As 3.40
Br4 0.0000 0.1226 0.3774  2 As 2.61, 1 Br 2.91
As3 0.5000 0.7985 0.2985  2 Br 2.61
As4 0.5000 0.2015 0.7015  2 Br 2.61

Computed properties:
SG: P4/mbm
Magnetic moment: 0.0 μB per formula unit
ρ: 5.09 Mg/m³
E_tot: -169.38 eV/cell
E_form (uncorrected): 0.925 eV/atom
DOS(E_F): 5.18 states/eV per cell

---

11.
VASP calculation (SCAN) on a PBEsol-optimized structure of FeCoAg.

Cell lengths 3.9742, 3.9742, 3.9742 Å; angles 60.00, 60.00, 60.00 degrees
With the nearest neighbours (Å) after each atom.
Element x y z (fractional)
Co1 0.2500 0.2500 0.2500  4 Fe 2.43, 4 Ag 2.43
Ag1 0.5000 0.5000 0.5000  4 Co 2.43
Fe1 0.0000 0.0000 0.0000  4 Co 2.43

Computed properties:
SG: F-43m
Magnetic moment: 4.7 μB per formula unit
ρ: 8.33 Mg/m³
E_tot: -64.75 eV/cell
Offset from the most stable computed form: 453.6 meV/atom
DOS(E_F): 1.75 states/eV per cell

---

12.
VASP calculation (SCAN) on a PBEsol-optimized structure of MnBeHg2.

Cell lengths 3.1371, 4.4657, 5.0077 Å; angles 109.21, 90.00, 90.00 degrees
With the nearest neighbours (Å) after each atom.
Element x y z (fractional)
Hg1 0.0000 0.0000 0.0000  4 Mn 2.73, 2 Be 2.75, 4 Hg 2.95
Mn1 0.5000 0.5000 0.0000  6 Hg 2.73-2.75, 4 Be 2.95
Be1 0.0000 0.5000 0.5000  6 Hg 2.73-2.75, 4 Mn 2.95
Hg2 0.5000 0.0000 0.5000  4 Be 2.73, 2 Mn 2.75, 4 Hg 2.95

Computed properties:
SG: P2/m
Magnetic moment: 3.8 μB per formula unit
ρ: 11.66 Mg/m³
E_tot: -157.87 eV/cell
DOS(E_F): 1.73 states/eV per cell

---

13.
VASP calculation (SCAN) on a PBEsol-optimized structure of DyLuHg2.

Cell lengths 5.1176, 5.1176, 5.1176 Å; angles 60.00, 60.00, 60.00 degrees
With the nearest neighbours (Å) after each atom.
Element x y z (fractional)
Hg1 0.7500 0.7500 0.7500  4 Lu 3.13, 4 Dy 3.13
Lu1 0.0000 0.0000 0.0000  8 Hg 3.13
Dy1 0.5000 0.5000 0.5000  8 Hg 3.13
Hg2 0.2500 0.2500 0.2500  4 Dy 3.13, 4 Lu 3.13

Computed properties:
SG: Fm-3m
Magnetic moment: 0.0 μB per formula unit
ρ: 12.94 Mg/m³
E_tot: -242.27 eV/cell
DOS(E_F): 2.06 states/eV per cell

---

14.
VASP calculation (SCAN) on a PBEsol-optimized structure of LiTiBr2.

Cell lengths 6.1327, 6.8483, 6.1327 Å; angles 116.60, 90.00, 116.60 degrees
With the nearest neighbours (Å) after each atom.
Element x y z (fractional)
Li1 0.7500 0.5000 0.2500  4 Br 2.47
Br1 0.6250 0.7500 0.1439  2 Li 2.47, 2 Ti 2.61
Br2 0.8561 0.2500 0.8750  2 Li 2.47, 2 Ti 2.61
Ti1 0.0000 0.0000 0.0000  4 Br 2.61
Li2 0.5000 0.0000 0.5000  4 Br 2.47
Ti2 0.2500 0.5000 0.7500  4 Br 2.61
Br3 0.1250 0.7500 0.6061  2 Li 2.47, 2 Ti 2.61
Br4 0.3939 0.2500 0.3750  2 Li 2.47, 2 Ti 2.61

Computed properties:
SG: I-42d
Magnetic moment: 3.0 μB per formula unit
ρ: 3.58 Mg/m³
E_tot: -121.42 eV/cell
E_form (uncorrected): -0.842 eV/atom
DOS(E_F): 3.37 states/eV per cell